1.
DFT (PBE) results for a relaxed structure of GaCuRu2.

Unit cell a=5.480 b=5.480 c=5.480 alpha=102.32 beta=102.32 gamma=124.99
Fractional coordinates of all 8 atoms:
Ga 0.000 0.000 0.000
Ga 0.750 0.250 0.500
Cu 0.250 0.750 0.500
Cu 0.500 0.500 0.000
Ru 0.117 0.625 0.992
Ru 0.375 0.367 0.492
Ru 0.633 0.125 0.008
Ru 0.875 0.883 0.508

Calculated values
ΔH_f (0 K) (eV per atom): 0.5003
Space group: I-42d
Volume (Å³/atom): 14.948

2.
DFT (PBE) results for a relaxed structure of Ta2CrOs.

Unit cell a=2.805 b=2.805 c=8.557 alpha=90.00 beta=90.00 gamma=111.81
Fractional coordinates of all 4 atoms:
Ta 0.000 0.000 0.240
Ta 0.000 0.000 0.760
Cr 0.500 0.500 0.000
Os 0.500 0.500 0.500

Calculated values
ΔH_f (0 K) (eV per atom): 0.0098
Space group: Cmmm
Volume (Å³/atom): 15.629
Energy relative to the lowest polymorph listed for this composition (meV/atom): 319.6